VASP calculation (PBE) on crystalline Tm7TlIr2 at its relaxed geometry.

## Properties
Space group   No. 65
Formation energy   -0.313 eV/atom

Cell lengths 8.081, 8.081, 5.229 Å; angles 90.00, 90.00, 114.58 degrees
Atoms (fractional coordinates):
1 Tm 0.000 0.000 0.000
2 Tm 0.182 0.444 0.000
3 Tm 0.211 0.789 0.500
4 Tm 0.444 0.182 0.000
5 Tm 0.556 0.818 0.000
6 Tm 0.789 0.211 0.500
7 Tm 0.818 0.556 0.000
8 Tl 0.500 0.500 0.500
9 Ir 0.203 0.797 0.000
10 Ir 0.797 0.203 0.000


VASP calculation (PBE) on crystalline Ac2NiIr at its relaxed geometry.

## Properties
Space group   No. 11
Distance to the lowest polymorph of the same formula   0.0 meV/atom
Formation energy   -0.468 eV/atom

Cell lengths 6.170, 4.342, 8.300 Å; angles 90.00, 109.81, 90.00 degrees
Atoms (fractional coordinates):
1 Ac 0.224 0.250 0.432
2 Ac 0.228 0.250 0.931
3 Ac 0.772 0.750 0.069
4 Ac 0.776 0.750 0.568
5 Ni 0.354 0.750 0.212
6 Ni 0.646 0.250 0.788
7 Ir 0.347 0.750 0.713
8 Ir 0.653 0.250 0.287


VASP calculation (PBE) on crystalline SbAu at its relaxed geometry.

## Properties
Space group   No. 166
Uncorrected energy   -3.71 eV per atom

Cell lengths 6.924, 6.924, 6.924 Å; angles 34.94, 34.94, 34.94 degrees
Atoms (fractional coordinates):
1 Sb 0.108 0.108 0.108
2 Sb 0.892 0.892 0.892
3 Au 0.371 0.371 0.371
4 Au 0.629 0.629 0.629


VASP calculation (PBE) on crystalline ScHRu2Pt at its relaxed geometry.

## Properties
Space group   No. 123
Distance to the lowest polymorph of the same formula   67.3 meV/atom

Cell lengths 3.980, 3.980, 4.045 Å; angles 90.00, 90.00, 90.00 degrees
Atoms (fractional coordinates):
1 Sc 0.000 0.000 0.000
2 H 0.500 0.500 0.500
3 Ru 0.000 0.500 0.500
4 Ru 0.500 0.000 0.500
5 Pt 0.500 0.500 0.000


VASP calculation (PBE) on crystalline YHo5Au6 at its relaxed geometry.

## Properties
Space group   No. 12
Formation energy   -0.870 eV/atom

Cell lengths 8.823, 8.823, 5.097 Å; angles 106.75, 106.75, 47.42 degrees
Atoms (fractional coordinates):
1 Y 0.000 0.000 0.000
2 Ho 0.166 0.166 0.666
3 Ho 0.333 0.333 0.333
4 Ho 0.500 0.500 0.000
5 Ho 0.667 0.667 0.667
6 Ho 0.834 0.834 0.334
7 Au 0.084 0.581 0.832
8 Au 0.254 0.746 0.500
9 Au 0.419 0.916 0.168
10 Au 0.581 0.084 0.832
11 Au 0.746 0.254 0.500
12 Au 0.916 0.419 0.168


VASP calculation (PBE) on crystalline CrTePdI2 at its relaxed geometry.

## Properties
Space group   No. 123
Distance to the lowest polymorph of the same formula   0.0 meV/atom

Cell lengths 5.468, 5.468, 5.383 Å; angles 90.00, 90.00, 90.00 degrees
Atoms (fractional coordinates):
1 Cr 0.000 0.000 0.000
2 Te 0.500 0.500 0.000
3 Pd 0.500 0.500 0.500
4 I 0.000 0.500 0.500
5 I 0.500 0.000 0.500


VASP calculation (PBE) on crystalline PdBr2Cl8 at its relaxed geometry.

## Properties
Space group   No. 2
Uncorrected energy   -2.13 eV per atom

Cell lengths 5.227, 8.021, 10.770 Å; angles 111.52, 95.10, 90.42 degrees
Atoms (fractional coordinates):
1 Pd 0.000 0.000 0.000
2 Br 0.266 0.326 0.646
3 Br 0.734 0.674 0.354
4 Cl 0.119 0.461 0.925
5 Cl 0.218 0.905 0.811
6 Cl 0.290 0.096 0.189
7 Cl 0.363 0.720 0.436
8 Cl 0.637 0.280 0.564
9 Cl 0.710 0.904 0.811
10 Cl 0.782 0.095 0.189
11 Cl 0.881 0.539 0.075


VASP calculation (PBE) on crystalline La3CoSn at its relaxed geometry.

## Properties
Space group   No. 8
Distance to the lowest polymorph of the same formula   43.2 meV/atom
Formation energy   -0.405 eV/atom

Cell lengths 7.266, 7.266, 6.321 Å; angles 96.30, 96.30, 61.67 degrees
Atoms (fractional coordinates):
1 La 0.000 0.000 0.000
2 La 0.279 0.279 0.681
3 La 0.311 0.747 0.532
4 La 0.528 0.992 0.163
5 La 0.747 0.311 0.532
6 La 0.992 0.528 0.163
7 Co 0.133 0.133 0.363
8 Co 0.908 0.908 0.382
9 Sn 0.501 0.501 0.048
10 Sn 0.770 0.770 0.665


VASP calculation (PBE) on crystalline Pr2DyErSe6 at its relaxed geometry.

## Properties
Space group   No. 146
Uncorrected energy   -5.81 eV per atom

Cell lengths 7.772, 7.772, 7.772 Å; angles 56.63, 56.63, 56.63 degrees
Atoms (fractional coordinates):
1 Pr 0.000 0.000 0.000
2 Pr 0.500 0.500 0.500
3 Dy 0.202 0.202 0.202
4 Er 0.702 0.702 0.702
5 Se 0.081 0.819 0.421
6 Se 0.321 0.583 0.918
7 Se 0.421 0.081 0.819
8 Se 0.583 0.918 0.321
9 Se 0.819 0.421 0.081
10 Se 0.918 0.321 0.583


VASP calculation (PBE) on crystalline Zr2MoN at its relaxed geometry.

## Properties
Space group   No. 122
Uncorrected energy   -9.10 eV per atom

Cell lengths 5.815, 5.815, 5.815 Å; angles 113.99, 113.99, 100.77 degrees
Atoms (fractional coordinates):
1 Zr 0.040 0.125 0.415
2 Zr 0.375 0.960 0.085
3 Zr 0.710 0.625 0.585
4 Zr 0.875 0.290 0.915
5 Mo 0.250 0.750 0.500
6 Mo 0.500 0.500 0.000
7 N 0.000 0.000 0.000
8 N 0.750 0.250 0.500


VASP calculation (PBE) on crystalline Tb2Nd3Y8 at its relaxed geometry.

## Properties
Space group   No. 12
Distance to the lowest polymorph of the same formula   108.4 meV/atom
Formation energy   0.247 eV/atom

Cell lengths 10.826, 10.826, 5.702 Å; angles 90.06, 90.06, 41.90 degrees
Atoms (fractional coordinates):
1 Tb 0.241 0.241 0.498
2 Tb 0.759 0.759 0.502
3 Nd 0.000 0.000 0.500
4 Nd 0.291 0.709 0.000
5 Nd 0.709 0.291 0.000
6 Y 0.135 0.135 0.000
7 Y 0.182 0.601 0.499
8 Y 0.327 0.327 0.998
9 Y 0.399 0.818 0.501
10 Y 0.601 0.182 0.499
11 Y 0.673 0.673 0.002
12 Y 0.818 0.399 0.501
13 Y 0.865 0.865 0.000


VASP calculation (PBE) on crystalline Sr2Al2Cd15 at its relaxed geometry.

## Properties
Space group   No. 166
Formation energy   -0.119 eV/atom

Cell lengths 7.730, 7.730, 7.730 Å; angles 83.12, 83.12, 83.12 degrees
Atoms (fractional coordinates):
1 Sr 0.169 0.169 0.169
2 Sr 0.831 0.831 0.831
3 Al 0.408 0.408 0.408
4 Al 0.592 0.592 0.592
5 Cd 0.000 0.500 0.500
6 Cd 0.146 0.146 0.663
7 Cd 0.146 0.663 0.146
8 Cd 0.198 0.500 0.802
9 Cd 0.198 0.802 0.500
10 Cd 0.337 0.854 0.854
11 Cd 0.500 0.000 0.500
12 Cd 0.500 0.198 0.802
13 Cd 0.500 0.500 0.000
14 Cd 0.500 0.802 0.198
15 Cd 0.663 0.146 0.146
16 Cd 0.802 0.198 0.500
17 Cd 0.802 0.500 0.198
18 Cd 0.854 0.337 0.854
19 Cd 0.854 0.854 0.337